No. 1
Here is a relaxed Cs2KCd crystal from Alexandria. Energies are from GGA-PBE.

Unit cell a=4.828 b=4.828 c=12.157 alpha=90.00 beta=90.00 gamma=90.00
Space group P4/mmm (No. 123)
Asymmetric unit:
Cs (0.000, 0.000, 0.192) (multiplicity 2)
K (0.500, 0.500, 0.500) (multiplicity 1)
Cd (0.500, 0.500, 0.000) (multiplicity 1)

Computed properties:
**Calculated total energy**: -0.913 eV per atom
**E above lowest polymorph**: 30 meV per atom

No. 2
Here is a relaxed RbNaS2 crystal from Alexandria. Energies are from GGA-PBE.

Unit cell a=5.127 b=5.127 c=18.225 alpha=90.00 beta=90.00 gamma=90.00
Space group I-42d (No. 122)
Asymmetric unit:
Rb (0.000, 0.000, 0.000) (multiplicity 4)
Na (0.000, 0.000, 0.500) (multiplicity 4)
S (0.057, 0.250, 0.625) (multiplicity 8)

Computed properties:
**Energy relative to the elements, uncorrected**: -0.6429 eV/atom
**Calculated total energy**: -3.278 eV per atom
**E above lowest polymorph**: 0 meV per atom

No. 3
Here is a relaxed BeHgRu crystal from Alexandria. Energies are from GGA-PBE.

Unit cell a=2.993 b=2.993 c=9.840 alpha=90.00 beta=90.00 gamma=90.00
Space group I4mm (No. 107)
Asymmetric unit:
Be (0.000, 0.000, 0.000) (multiplicity 2)
Hg (0.000, 0.000, 0.698) (multiplicity 2)
Ru (0.000, 0.000, 0.405) (multiplicity 2)

Computed properties:
**Calculated total energy**: -4.212 eV per atom
**E above lowest polymorph**: 0 meV per atom